Record 1
Material: LiSiSe3
Method: DFT, PBE-GGA
State: relaxed

energy above the most stable polymorph in this dataset = 93.9 kJ/mol of atoms
crystal system = cubic
electronic total energy = -3.10 eV per atom
energy relative to the elements, uncorrected = 2.29 eV/f.u.
space-group type = Pm-3m, No. 221
N(E_F) = 0.8483 states/eV per atom

Cell and atoms, written as POSCAR:
```
LiSiSe3
1.0
4.691 0.000 0.000
0.000 4.691 0.000
0.000 0.000 4.691
Si Se Li
1 3 1
Cartesian
2.345 2.345 2.345
2.345 0.000 0.000
0.000 0.000 2.345
0.000 2.345 0.000
0.000 0.000 0.000
```


Record 2
Material: CaTlAg2
Method: DFT, PBE-GGA
State: relaxed

crystal system = orthorhombic
electronic total energy = -2.69 eV per atom
ΔH_f (0 K) = -0.170 eV per atom
space-group type = Imm2, No. 44
N(E_F) = 0.6909 states/eV per atom

Cell and atoms, written as POSCAR:
```
CaTlAg2
1.0
5.323 -0.213 0.144
3.480 4.033 0.144
2.072 0.899 4.214
Ag Tl Ca
2 1 1
Cartesian
2.087 0.906 4.205
8.124 3.525 3.392
2.743 1.190 1.114
5.430 2.357 2.255
```


Record 3
Material: Sm2ErGa2
Method: DFT, PBE-GGA
State: relaxed

energy above the most stable polymorph in this dataset = 5.0 kJ/mol of atoms
crystal system = monoclinic
electronic total energy = -4.48 eV per atom
ΔH_f (0 K) = -0.470 eV per atom
space-group type = C2/m, No. 12
N(E_F) = 0.7183 states/eV per atom

Cell and atoms, written as POSCAR:
```
Sm2ErGa2
1.0
4.678 0.000 0.000
2.339 6.001 -0.128
2.339 0.701 9.358
Sm Ga Er
4 4 2
Cartesian
7.017 4.965 8.336
2.339 1.737 0.894
4.678 4.057 2.853
4.678 2.645 6.377
7.017 4.465 5.296
7.017 1.708 8.507
2.339 2.237 3.933
2.339 4.995 0.723
4.678 0.582 3.322
4.678 6.120 5.908
```


Record 4
Material: Pr12Sm6In
Method: DFT, PBE-GGA
State: relaxed

crystal system = trigonal
electronic total energy = -4.60 eV per atom
ΔH_f (0 K) = 0.055 eV per atom
space-group type = R-3, No. 148
N(E_F) = 1.5784 states/eV per atom

Cell and atoms, written as POSCAR:
```
Pr12Sm6In
1.0
-4.278 -6.030 -4.682
3.314 -6.460 4.886
-6.844 0.313 5.445
Pr Sm In
12 6 1
Cartesian
-2.725 -2.233 -0.632
-5.083 -9.944 6.281
-1.951 -1.151 2.772
-4.535 -8.060 1.298
-4.891 -4.673 0.918
-8.122 -8.759 4.634
-2.917 -7.505 4.731
0.314 -3.418 1.015
-6.232 -5.777 3.872
-5.857 -11.026 2.877
-1.576 -6.400 1.777
-3.273 -4.118 4.351
-2.173 -10.215 2.501
-5.635 -1.962 3.148
-4.945 -6.264 7.185
-2.863 -5.913 -1.536
-7.985 -7.073 1.240
0.176 -5.104 4.409
0.000 0.000 0.000
```


Record 5
Material: Zr3NbNi
Method: DFT, PBE-GGA
State: relaxed

energy above the most stable polymorph in this dataset = 0.0 kJ/mol of atoms
crystal system = cubic
electronic total energy = -7.84 eV per atom
ΔH_f (0 K) = 0.462 eV per atom
space-group type = Pm-3m, No. 221
N(E_F) = 1.3394 states/eV per atom

Cell and atoms, written as POSCAR:
```
Zr3NbNi
1.0
4.823 0.000 0.000
0.000 4.823 0.000
0.000 0.000 4.823
Ni Zr Nb
1 3 1
Cartesian
0.000 0.000 0.000
2.412 0.000 0.000
0.000 2.412 0.000
0.000 0.000 2.412
2.412 2.412 2.412
```


Record 6
Material: BaTl2Cu
Method: DFT, PBE-GGA
State: relaxed

crystal system = monoclinic
electronic total energy = -2.56 eV per atom
ΔH_f (0 K) = 0.125 eV per atom
space-group type = C2/m, No. 12
N(E_F) = 0.6356 states/eV per atom

Cell and atoms, written as POSCAR:
```
BaTl2Cu
1.0
-2.936 3.279 2.257
-3.906 -5.248 -2.871
-0.794 -2.832 3.091
Tl Cu Ba
2 1 1
Cartesian
0.000 0.000 0.000
-1.865 0.223 2.674
-3.421 -0.984 -0.307
-2.350 -4.040 0.110
```


Record 7
Material: PbI
Method: DFT, PBE-GGA
State: relaxed

crystal system = monoclinic
electronic total energy = -2.90 eV per atom
energy relative to the elements, uncorrected = -0.54 eV/f.u.
space-group type = C2, No. 5
N(E_F) = 0.0653 states/eV per atom

Cell and atoms, written as POSCAR:
```
PbI
1.0
4.249 -0.003 0.000
0.001 5.670 -0.030
2.123 1.525 7.522
Pb I
2 2
Cartesian
2.948 2.200 2.659
4.860 5.036 2.640
5.071 1.542 5.034
0.822 2.853 0.282
```


Record 8
Material: InSi3Ag
Method: DFT, PBE-GGA
State: relaxed

energy above the most stable polymorph in this dataset = 0.0 kJ/mol of atoms
crystal system = cubic
electronic total energy = -3.40 eV per atom
energy relative to the elements, uncorrected = 4.85 eV/f.u.
space-group type = Pm-3m, No. 221
N(E_F) = 0.3710 states/eV per atom

Cell and atoms, written as POSCAR:
```
InSi3Ag
1.0
-1.510 1.403 -4.451
2.092 -3.978 -1.964
-4.172 -2.503 0.627
In Si Ag
1 3 1
Cartesian
-1.795 -2.539 -2.894
1.046 -1.989 -0.982
-2.086 -1.252 0.313
-0.755 0.701 -2.226
0.000 0.000 0.000
```


Record 9
Material: Li2NpBiO6
Method: DFT, PBE-GGA
State: relaxed

crystal system = monoclinic
electronic total energy = -7.12 eV per atom
energy relative to the elements, uncorrected = -20.80 eV/f.u.
space-group type = P2_1/c, No. 14

Cell and atoms, written as POSCAR:
```
Li2NpBiO6
1.0
5.532 0.000 0.036
0.000 5.981 0.000
-0.043 0.000 8.246
O Li Bi Np
12 4 2 2
Cartesian
4.726 2.860 6.044
0.764 3.121 2.237
0.811 4.764 4.647
1.054 4.995 7.660
3.841 3.977 3.555
1.648 2.004 4.727
3.598 4.209 0.542
3.508 5.851 6.378
1.891 1.773 7.739
4.435 0.986 0.622
4.679 1.218 3.635
1.981 0.131 1.904
2.780 2.630 6.202
2.709 3.351 2.080
5.454 5.621 6.221
0.036 0.361 2.061
2.745 0.000 4.141
0.000 2.991 0.000
-0.021 2.991 4.123
2.766 0.000 0.018
```


Record 10
Material: MnCr3Pd
Method: DFT, PBE-GGA
State: relaxed

energy above the most stable polymorph in this dataset = 123.8 kJ/mol of atoms
crystal system = cubic
electronic total energy = -6.35 eV per atom
ΔH_f (0 K) = 2.298 eV per atom
space-group type = Pm-3m, No. 221
N(E_F) = 2.8688 states/eV per atom

Cell and atoms, written as POSCAR:
```
MnCr3Pd
1.0
-2.990 -1.071 -3.088
1.076 -4.275 0.441
-3.087 -0.452 3.146
Pd Mn Cr
1 1 3
Cartesian
0.000 0.000 0.000
-2.501 -2.899 0.249
-1.543 -0.226 1.573
0.538 -2.138 0.220
-1.495 -0.535 -1.544
```


Record 11
Material: Dy2TaGa2Ru5
Method: DFT, PBE-GGA
State: relaxed

crystal system = tetragonal
electronic total energy = -7.75 eV per atom
ΔH_f (0 K) = -0.405 eV per atom
space-group type = P4/mbm, No. 127
N(E_F) = 0.8061 states/eV per atom

Cell and atoms, written as POSCAR:
```
Dy2TaGa2Ru5
1.0
-0.560 -2.400 2.250
-1.594 -6.631 -7.469
9.842 -2.329 -0.034
Ta Ru Ga Dy
2 10 4 4
Cartesian
0.000 0.000 0.000
4.124 -4.480 -3.751
7.626 -8.693 -4.899
5.683 -6.582 -3.132
4.816 -4.524 -1.152
-1.077 -4.515 -2.609
0.062 -2.666 -0.354
2.872 -6.835 -4.101
2.005 -4.777 -2.121
4.641 -2.364 1.108
0.178 -7.849 -5.852
7.510 -3.511 0.599
2.274 -6.651 -6.528
7.585 -6.193 -4.718
5.974 -2.308 -0.975
0.663 -2.766 -2.785
0.614 -4.849 -5.018
5.284 -7.059 -6.214
7.634 -4.111 -2.484
2.964 -1.901 -1.289
```


Record 12
Material: CdSiSb3
Method: DFT, PBE-GGA
State: relaxed

energy above the most stable polymorph in this dataset = 0.0 kJ/mol of atoms
crystal system = cubic
electronic total energy = -3.16 eV per atom
energy relative to the elements, uncorrected = 2.91 eV/f.u.
space-group type = Pm-3m, No. 221
N(E_F) = 0.9334 states/eV per atom

Cell and atoms, written as POSCAR:
```
CdSiSb3
1.0
5.261 0.000 0.000
0.000 5.261 0.000
0.000 0.000 5.261
Sb Cd Si
3 1 1
Cartesian
0.000 2.630 0.000
0.000 0.000 2.630
2.630 0.000 0.000
2.630 2.630 2.630
0.000 0.000 0.000
```